Density functional theory data (PBE-GGA) for an optimized crystal structure of Si7P6.

Summary:
Energy relative to the elements, uncorrected in meV per atom: 491

The structure in POSCAR format:
```
Si7P6
1.0
2.756 1.591 8.431
-2.756 1.591 8.431
0.000 -3.183 8.431
Si P
7 6
Direct
0.000 0.000 0.000
0.096 0.096 0.572
0.096 0.572 0.096
0.428 0.904 0.904
0.572 0.096 0.096
0.904 0.428 0.904
0.904 0.904 0.428
0.144 0.144 0.144
0.332 0.332 0.332
0.416 0.416 0.416
0.584 0.584 0.584
0.668 0.668 0.668
0.856 0.856 0.856
```